Material: MnCdC2F
Method: DFT, PBE with a Hubbard U
State: relaxed

The total energy is -18.54 eV for the cell shown. As for the crystal system: tetragonal.

Cell and atoms, written as CIF:
```
data_MnCdC2F
_chemical_formula_sum 'Mn1 Cd1 C2 F1'
_symmetry_space_group_name_H-M 'P 4/m m m'
_symmetry_Int_Tables_number 123
_symmetry_space_group_name_Hall '-P 4 2'
_cell_length_a 4.245
_cell_length_b 4.245
_cell_length_c 4.185
_cell_angle_alpha 90.00
_cell_angle_beta 90.00
_cell_angle_gamma 90.00
loop_
_atom_site_label
_atom_site_type_symbol
_atom_site_fract_x
_atom_site_fract_y
_atom_site_fract_z
Mn1 Mn 0.000 0.000 0.000
Cd1 Cd 0.500 0.500 0.000
C1 C 0.000 0.500 0.500
F1 F 0.500 0.500 0.500
```